Record 1
Compound: AcMgAl2Ag4
Source: Alexandria via LeMat-Bulk
Functional: PBE-GGA
Structure: optimized geometry

Lattice parameters (Å, degrees): 9.782 9.782 9.782 26.95 26.95 26.95
Atoms (fractional coordinates):
Ac 0.000 0.000 0.000
Mg 0.500 0.500 0.500
Al 0.240 0.240 0.240
Al 0.760 0.760 0.760
Ag 0.133 0.133 0.133
Ag 0.405 0.405 0.405
Ag 0.595 0.595 0.595
Ag 0.867 0.867 0.867

Values from the calculation:
ΔH_f (0 K) ... -215 meV per atom
Calculated volume ... 21.20 Å³ per atom
Energy ... -26.31 eV for the cell shown
Calculated density ... 7.21 g/cm³

---

Record 2
Compound: Rb2SnHg5
Source: Alexandria via LeMat-Bulk
Functional: PBE-GGA
Structure: optimized geometry

Lattice parameters (Å, degrees): 7.556 7.556 7.556 122.39 122.39 85.92
Atoms (fractional coordinates):
Rb 0.000 0.500 0.500
Rb 0.500 0.000 0.500
Sn 0.252 0.252 0.000
Hg 0.537 0.537 0.581
Hg 0.537 0.956 0.000
Hg 0.956 0.537 0.000
Hg 0.956 0.956 0.419
Hg 0.971 0.971 0.000

Values from the calculation:
ΔH_f (0 K) ... -144 meV per atom
Calculated volume ... 36.66 Å³ per atom
Energy ... -8.60 eV for the cell shown
Calculated density ... 7.32 g/cm³

---

Record 3
Compound: ScAg2AsS4
Source: Alexandria via LeMat-Bulk
Functional: PBE-GGA
Structure: optimized geometry

Lattice parameters (Å, degrees): 5.617 5.768 6.796 69.90 70.57 87.82
Atoms (fractional coordinates):
Sc 0.000 0.000 0.000
Ag 0.486 0.552 0.996
Ag 0.766 0.248 0.508
As 0.252 0.777 0.469
S 0.170 0.154 0.235
S 0.377 0.915 0.707
S 0.641 0.675 0.266
S 0.858 0.359 0.804

Values from the calculation:
Uncorrected formation energy ... -545 meV/atom
Calculated volume ... 24.28 Å³ per atom
Energy ... -37.56 eV for the cell shown
Calculated density ... 3.97 g/cm³

---

Record 4
Compound: NbRh2F
Source: Alexandria via LeMat-Bulk
Functional: PBE-GGA
Structure: optimized geometry

Lattice parameters (Å, degrees): 5.439 5.439 5.439 103.57 103.57 122.05
Atoms (fractional coordinates):
Nb 0.000 0.000 0.000
Nb 0.750 0.250 0.500
Rh 0.143 0.625 0.018
Rh 0.375 0.393 0.518
Rh 0.607 0.125 0.982
Rh 0.875 0.857 0.482
F 0.250 0.750 0.500
F 0.500 0.500 0.000

Values from the calculation:
Uncorrected formation energy ... -270 meV/atom
Relative energy among the computed polymorphs ... 0.0 meV/atom
Calculated volume ... 14.92 Å³ per atom
Energy ... -55.45 eV for the cell shown
Calculated density ... 8.84 g/cm³

---

Record 5
Compound: CdCu2S2O8
Source: Alexandria via LeMat-Bulk
Functional: PBE-GGA
Structure: optimized geometry

Lattice parameters (Å, degrees): 6.154 8.459 9.796 90.00 127.47 90.00
Atoms (fractional coordinates):
Cd 0.000 0.000 0.000
Cd 0.000 0.500 0.500
Cu 0.397 0.151 0.477
Cu 0.397 0.349 0.977
Cu 0.603 0.651 0.023
Cu 0.603 0.849 0.523
S 0.105 0.172 0.639
S 0.105 0.328 0.139
S 0.895 0.672 0.861
S 0.895 0.828 0.361
O 0.110 0.702 0.408
O 0.110 0.798 0.908
O 0.251 0.234 0.072
O 0.251 0.266 0.572
O 0.309 0.169 0.835
O 0.309 0.331 0.335
O 0.483 0.013 0.373
O 0.483 0.487 0.873
O 0.517 0.513 0.127
O 0.517 0.987 0.627
O 0.691 0.669 0.665
O 0.691 0.831 0.165
O 0.749 0.734 0.428
O 0.749 0.766 0.928
O 0.890 0.202 0.092
O 0.890 0.298 0.592

Values from the calculation:
Uncorrected formation energy ... -811 meV/atom
Calculated volume ... 15.57 Å³ per atom
Energy ... -135.14 eV for the cell shown
Calculated density ... 3.54 g/cm³

---

Record 6
Compound: IrSN
Source: Alexandria via LeMat-Bulk
Functional: PBE-GGA
Structure: optimized geometry

Lattice parameters (Å, degrees): 4.225 4.225 3.977 114.30 114.30 46.29
Atoms (fractional coordinates):
Ir 0.000 0.000 0.000
S 0.280 0.280 0.903
N 0.065 0.065 0.551

Values from the calculation:
Uncorrected formation energy ... 511 meV/atom
Relative energy among the computed polymorphs ... 333.0 meV/atom
Calculated volume ... 15.29 Å³ per atom
Energy ... -19.78 eV for the cell shown
Calculated density ... 8.62 g/cm³

---

Q: Number 5 is which compound?
A: CdCu2S2O8

---

Q: Look up the calculated volume of the third one.
A: 24.28 Å³ per atom

---

Q: Which formula does entry 3 have?
A: ScAg2AsS4

---

Repeat the second record exactly.
Compound: Rb2SnHg5
Source: Alexandria via LeMat-Bulk
Functional: PBE-GGA
Structure: optimized geometry

Lattice parameters (Å, degrees): 7.556 7.556 7.556 122.39 122.39 85.92
Atoms (fractional coordinates):
Rb 0.000 0.500 0.500
Rb 0.500 0.000 0.500
Sn 0.252 0.252 0.000
Hg 0.537 0.537 0.581
Hg 0.537 0.956 0.000
Hg 0.956 0.537 0.000
Hg 0.956 0.956 0.419
Hg 0.971 0.971 0.000

Values from the calculation:
ΔH_f (0 K) ... -144 meV per atom
Calculated volume ... 36.66 Å³ per atom
Energy ... -8.60 eV for the cell shown
Calculated density ... 7.32 g/cm³